NaV2O6 PBE+U optimized geometry; calculated total energy = -61.1 eV per cell
1.0
-1.9283 2.7494 1.5369
-2.9399 -1.8142 3.9941
3.2100 1.2350 6.2555
O Na V
6 1 2
Cartesian
-1.3802 0.2603 2.2400
-3.9673 1.2347 6.1254
2.3092 0.9354 5.6611
-0.9529 1.7854 4.4850
-0.7052 0.3847 7.3015
-0.2779 1.9099 9.5465
0.1351 -0.2896 5.1248
0.2310 0.2805 8.6626
-1.8891 1.8897 3.1238